Record 1
{"formula": "Mn2CrAu", "functional": "GGA-PBEsol", "state": "optimized geometry", "lattice": [[4.4800, 0.0000, 0.0000], [0.0000, 2.6862, 0.0000], [-1.5119, 0.0000, 4.2952]], "species": ["Mn", "Mn", "Cr", "Au"], "fractional_positions": [[0.0000, 0.0000, 0.0000], [0.0000, 0.5000, 0.5000], [0.5000, 0.0000, 0.5000], [0.5000, 0.5000, 0.0000]], "e_tot_ev_per_atom": -8.085, "crystal_system": "monoclinic", "ef_mev_per_atom": 337, "rho_g_cm3": 11.53, "magnetic_moment_mub_per_fu": 1.30}



Record 2
{"formula": "MnCrAu", "functional": "GGA-PBEsol", "state": "optimized geometry", "lattice": [[-1.5277, 1.5277, 4.4500], [1.5277, -1.5277, 4.4500], [1.5277, 1.5277, -4.4500]], "species": ["Mn", "Cr", "Au"], "fractional_positions": [[0.0000, 0.0000, 0.0000], [0.3773, 0.3773, 0.0000], [0.6878, 0.6878, 0.0000]], "e_tot_ev_per_atom": -7.830, "crystal_system": "tetragonal", "ef_mev_per_atom": 146, "rho_g_cm3": 12.15, "magnetic_moment_mub_per_fu": 0.26}



Record 3
{"formula": "MnCr2Au", "functional": "GGA-PBEsol", "state": "optimized geometry", "lattice": [[0.0000, 3.0535, 3.0535], [3.0535, 0.0000, 3.0535], [3.0535, 3.0535, 0.0000]], "species": ["Mn", "Cr", "Cr", "Au"], "fractional_positions": [[0.0000, 0.0000, 0.0000], [0.2500, 0.2500, 0.2500], [0.7500, 0.7500, 0.7500], [0.5000, 0.5000, 0.5000]], "e_tot_ev_per_atom": -8.163, "crystal_system": "cubic", "ef_mev_per_atom": 380, "rho_g_cm3": 10.38, "magnetic_moment_mub_per_fu": 3.77}



Record 4
{"formula": "MnCr2Au", "functional": "GGA-PBEsol", "state": "optimized geometry", "lattice": [[3.0511, 0.0000, 0.0000], [0.0000, 3.0511, 0.0000], [0.0000, 0.0000, 5.4621]], "species": ["Mn", "Cr", "Cr", "Au"], "fractional_positions": [[0.0000, 0.0000, 0.0000], [0.5000, 0.5000, 0.1901], [0.5000, 0.5000, 0.8099], [0.0000, 0.0000, 0.5000]], "e_tot_ev_per_atom": -8.292, "crystal_system": "tetragonal", "ef_mev_per_atom": 250, "rho_g_cm3": 11.62, "magnetic_moment_mub_per_fu": 0.00}



Record 5
{"formula": "Mn3CrAu", "functional": "GGA-PBEsol", "state": "optimized geometry", "lattice": [[4.8528, 0.0000, 0.0000], [0.0000, 4.8528, 0.0000], [0.0000, 0.0000, 4.8528]], "species": ["Mn", "Mn", "Mn", "Cr", "Au"], "fractional_positions": [[0.0000, 0.0000, 0.5000], [0.0000, 0.5000, 0.0000], [0.5000, 0.0000, 0.0000], [0.5000, 0.5000, 0.5000], [0.0000, 0.0000, 0.0000]], "e_tot_ev_per_atom": -7.096, "crystal_system": "cubic", "ef_mev_per_atom": 1594, "rho_g_cm3": 6.01, "magnetic_moment_mub_per_fu": 17.79}



Record 6
{"formula": "Mn2CrAu", "functional": "GGA-PBEsol", "state": "optimized geometry", "lattice": [[3.0423, 0.0000, 0.0000], [0.0000, 3.0423, 0.0000], [0.0000, 0.0000, 5.4906]], "species": ["Mn", "Mn", "Cr", "Au"], "fractional_positions": [[0.0000, 0.0000, 0.0000], [0.5000, 0.5000, 0.2048], [0.5000, 0.5000, 0.8062], [0.0000, 0.0000, 0.5001]], "e_tot_ev_per_atom": -8.162, "crystal_system": "tetragonal", "ef_mev_per_atom": 260, "rho_g_cm3": 11.73, "magnetic_moment_mub_per_fu": 1.38}



Record 7
{"formula": "Mn2CrAu", "functional": "GGA-PBEsol", "state": "optimized geometry", "lattice": [[-1.8510, 1.8510, 3.7120], [1.8510, -1.8510, 3.7120], [1.8510, 1.8510, -3.7120]], "species": ["Mn", "Mn", "Cr", "Au"], "fractional_positions": [[0.0000, 0.0000, 0.0000], [0.7500, 0.2500, 0.5000], [0.5000, 0.5000, 0.0000], [0.2500, 0.7500, 0.5000]], "e_tot_ev_per_atom": -8.147, "crystal_system": "tetragonal", "ef_mev_per_atom": 275, "rho_g_cm3": 11.71, "magnetic_moment_mub_per_fu": 1.68}



Record 8
{"formula": "CrMoAu", "functional": "GGA-PBEsol", "state": "optimized geometry", "lattice": [[-1.3327, 1.3327, 6.1865], [1.3327, -1.3327, 6.1865], [1.3327, 1.3327, -6.1865]], "species": ["Cr", "Mo", "Au"], "fractional_positions": [[0.0000, 0.0000, 0.0000], [0.6561, 0.6561, 0.0000], [0.3354, 0.3354, 0.0000]], "e_tot_ev_per_atom": -8.293, "crystal_system": "tetragonal", "ef_mev_per_atom": 352, "rho_g_cm3": 13.03, "magnetic_moment_mub_per_fu": 1.52}



Record 9
{"formula": "CrMoAu2", "functional": "GGA-PBEsol", "state": "optimized geometry", "lattice": [[4.7344, -1.4909, 0.0000], [4.7344, 1.4909, 0.0000], [-0.9701, 0.0000, 4.3751]], "species": ["Cr", "Mo", "Au", "Au"], "fractional_positions": [[0.0000, 0.0000, 0.0000], [0.5000, 0.5000, 0.5000], [0.2505, 0.2505, 0.7506], [0.7495, 0.7495, 0.2494]], "e_tot_ev_per_atom": -7.081, "crystal_system": "monoclinic", "ef_mev_per_atom": 383, "rho_g_cm3": 14.57, "magnetic_moment_mub_per_fu": 1.68}



Record 10
{"formula": "Cr2MoAu", "functional": "GGA-PBEsol", "state": "optimized geometry", "lattice": [[-1.9397, 1.9397, 3.6180], [1.9397, -1.9397, 3.6180], [1.9397, 1.9397, -3.6180]], "species": ["Cr", "Cr", "Mo", "Au"], "fractional_positions": [[0.2500, 0.7500, 0.5000], [0.7500, 0.2500, 0.5000], [0.0000, 0.0000, 0.0000], [0.5000, 0.5000, 0.0000]], "e_tot_ev_per_atom": -8.710, "crystal_system": "tetragonal", "ef_mev_per_atom": 334, "rho_g_cm3": 12.10, "magnetic_moment_mub_per_fu": 0.00}



Record 11
{"formula": "Cr2MoAu", "functional": "GGA-PBEsol", "state": "optimized geometry", "lattice": [[-1.6055, 2.0911, 4.0523], [1.6055, -2.0911, 4.0523], [1.6055, 2.0911, -4.0523]], "species": ["Cr", "Cr", "Mo", "Au"], "fractional_positions": [[0.0000, 0.0000, 0.0000], [0.7873, 0.2873, 0.5000], [0.2448, 0.7448, 0.5000], [0.5196, 0.5196, 0.0000]], "e_tot_ev_per_atom": -8.745, "crystal_system": "orthorhombic", "ef_mev_per_atom": 299, "rho_g_cm3": 12.11, "magnetic_moment_mub_per_fu": 0.00}



Record 12
{"formula": "CrMoAu", "functional": "GGA-PBEsol", "state": "optimized geometry", "lattice": [[0.0000, 2.1588, 6.4831], [1.5700, 0.0000, 6.4831], [1.5700, 2.1588, 0.0000]], "species": ["Cr", "Mo", "Au"], "fractional_positions": [[0.0000, 0.0000, 0.0000], [0.6470, 0.6470, 0.3530], [0.3306, 0.3306, 0.6694]], "e_tot_ev_per_atom": -8.346, "crystal_system": "orthorhombic", "ef_mev_per_atom": 299, "rho_g_cm3": 13.03, "magnetic_moment_mub_per_fu": 0.00}



Record 13
{"formula": "CrMo4Au", "functional": "GGA-PBEsol", "state": "optimized geometry", "lattice": [[0.0000, 3.6043, 3.6043], [3.6043, 0.0000, 3.6043], [3.6043, 3.6043, 0.0000]], "species": ["Cr", "Mo", "Mo", "Mo", "Mo", "Au"], "fractional_positions": [[0.0000, 0.0000, 0.0000], [0.3751, 0.3751, 0.3751], [0.3751, 0.3751, 0.8748], [0.3751, 0.8748, 0.3751], [0.8748, 0.3751, 0.3751], [0.7500, 0.7500, 0.7500]], "e_tot_ev_per_atom": -9.702, "crystal_system": "cubic", "ef_mev_per_atom": 505, "rho_g_cm3": 11.22, "magnetic_moment_mub_per_fu": 0.09}



Record 14
{"formula": "Cr2MoAuO", "functional": "GGA-PBEsol", "state": "optimized geometry", "lattice": [[4.7827, 0.0000, 0.0000], [0.0000, 4.7827, 0.0000], [0.0000, 0.0000, 3.7321]], "species": ["Cr", "Cr", "Mo", "Au", "O"], "fractional_positions": [[0.0000, 0.5000, 0.0000], [0.5000, 0.0000, 0.0000], [0.0000, 0.0000, 0.0000], [0.5000, 0.5000, 0.5000], [0.0000, 0.0000, 0.5000]], "e_tot_ev_per_atom": -7.687, "crystal_system": "tetragonal", "rho_g_cm3": 8.03, "e_form_raw_ev_per_atom": 0.598, "magnetic_moment_mub_per_fu": 6.58}



Record 15
{"formula": "CrPAu2N", "functional": "GGA-PBEsol", "state": "optimized geometry", "lattice": [[4.5226, 0.0000, 0.0000], [0.0000, 4.5226, 0.0000], [0.0000, 0.0000, 3.6650]], "species": ["Cr", "P", "Au", "Au", "N"], "fractional_positions": [[0.0000, 0.0000, 0.0000], [0.5000, 0.5000, 0.0000], [0.0000, 0.5000, 0.5000], [0.5000, 0.0000, 0.5000], [0.0000, 0.0000, 0.5000]], "e_tot_ev_per_atom": -5.892, "crystal_system": "tetragonal", "rho_g_cm3": 10.87, "e_form_raw_ev_per_atom": 0.590, "magnetic_moment_mub_per_fu": 2.59}



Record 16
{"formula": "NaCr3Au", "functional": "GGA-PBEsol", "state": "optimized geometry", "lattice": [[4.7559, 0.0000, 0.0000], [0.0000, 4.7559, 0.0000], [0.0000, 0.0000, 4.7559]], "species": ["Na", "Cr", "Cr", "Cr", "Au"], "fractional_positions": [[0.0000, 0.0000, 0.0000], [0.0000, 0.0000, 0.5000], [0.0000, 0.5000, 0.0000], [0.5000, 0.0000, 0.0000], [0.5000, 0.5000, 0.5000]], "e_tot_ev_per_atom": -5.076, "crystal_system": "cubic", "ef_mev_per_atom": 2134, "rho_g_cm3": 5.80, "magnetic_moment_mub_per_fu": 14.02}



Record 17
{"formula": "NaCr2RuAu", "functional": "GGA-PBEsol", "state": "optimized geometry", "lattice": [[4.8496, 0.0000, 0.0000], [0.0000, 4.8496, 0.0000], [0.0000, 0.0000, 4.8364]], "species": ["Na", "Cr", "Cr", "Ru", "Au"], "fractional_positions": [[0.0000, 0.0000, 0.0000], [0.0000, 0.5000, 0.5000], [0.5000, 0.0000, 0.5000], [0.5000, 0.5000, 0.0000], [0.0000, 0.0000, 0.5000]], "e_tot_ev_per_atom": -5.288, "crystal_system": "tetragonal", "ef_mev_per_atom": 1908, "rho_g_cm3": 6.20, "magnetic_moment_mub_per_fu": 9.89}



Record 18
{"formula": "Na2TlCrAu", "functional": "GGA-PBEsol", "state": "optimized geometry", "lattice": [[5.3867, 0.0000, 0.0000], [0.0000, 5.3867, 0.0000], [0.0000, 0.0000, 5.2160]], "species": ["Na", "Na", "Tl", "Cr", "Au"], "fractional_positions": [[0.0000, 0.5000, 0.0000], [0.5000, 0.0000, 0.0000], [0.0000, 0.0000, 0.5000], [0.0000, 0.0000, 0.0000], [0.5000, 0.5000, 0.5000]], "e_tot_ev_per_atom": -3.043, "crystal_system": "tetragonal", "ef_mev_per_atom": 877, "rho_g_cm3": 5.48, "magnetic_moment_mub_per_fu": 4.97}



Record 19
{"formula": "Nb3CrAu", "functional": "GGA-PBEsol", "state": "optimized geometry", "lattice": [[4.5258, 0.0000, 0.0000], [0.0000, 4.5258, 0.0000], [0.0000, 0.0000, 4.5258]], "species": ["Nb", "Nb", "Nb", "Cr", "Au"], "fractional_positions": [[0.0000, 0.0000, 0.5000], [0.0000, 0.5000, 0.0000], [0.5000, 0.0000, 0.0000], [0.0000, 0.0000, 0.0000], [0.5000, 0.5000, 0.5000]], "e_tot_ev_per_atom": -8.520, "crystal_system": "cubic", "ef_mev_per_atom": 806, "rho_g_cm3": 9.45, "magnetic_moment_mub_per_fu": 0.00}



Record 20
{"formula": "NbCr2Au2", "functional": "GGA-PBEsol", "state": "optimized geometry", "lattice": [[-1.8967, 1.8967, 5.4969], [1.8967, -1.8967, 5.4969], [1.8967, 1.8967, -5.4969]], "species": ["Nb", "Cr", "Cr", "Au", "Au"], "fractional_positions": [[0.0000, 0.0000, 0.0000], [0.4139, 0.4139, 0.0000], [0.5861, 0.5861, 0.0000], [0.2500, 0.7500, 0.5000], [0.7500, 0.2500, 0.5000]], "e_tot_ev_per_atom": -7.468, "crystal_system": "tetragonal", "ef_mev_per_atom": 363, "rho_g_cm3": 12.40, "magnetic_moment_mub_per_fu": 0.00}



Record 21
{"formula": "CrNiAu4", "functional": "GGA-PBEsol", "state": "optimized geometry", "lattice": [[0.0000, 3.7481, 3.7481], [3.7481, 0.0000, 3.7481], [3.7481, 3.7481, 0.0000]], "species": ["Cr", "Ni", "Au", "Au", "Au", "Au"], "fractional_positions": [[0.0000, 0.0000, 0.0000], [0.2500, 0.2500, 0.2500], [0.1254, 0.6249, 0.6249], [0.6249, 0.1254, 0.6249], [0.6249, 0.6249, 0.1254], [0.6249, 0.6249, 0.6249]], "e_tot_ev_per_atom": -4.868, "crystal_system": "cubic", "ef_mev_per_atom": 481, "rho_g_cm3": 14.17, "magnetic_moment_mub_per_fu": 4.01}



Record 22
{"formula": "CrNi2Au", "functional": "GGA-PBEsol", "state": "optimized geometry", "lattice": [[-1.8613, 1.8613, 3.5871], [1.8613, -1.8613, 3.5871], [1.8613, 1.8613, -3.5871]], "species": ["Cr", "Ni", "Ni", "Au"], "fractional_positions": [[0.0000, 0.0000, 0.0000], [0.2500, 0.7500, 0.5000], [0.7500, 0.2500, 0.5000], [0.5000, 0.5000, 0.0000]], "e_tot_ev_per_atom": -6.514, "crystal_system": "tetragonal", "ef_mev_per_atom": 106, "rho_g_cm3": 12.24, "magnetic_moment_mub_per_fu": 2.37}



Record 23
{"formula": "CrNiAu2", "functional": "GGA-PBEsol", "state": "optimized geometry", "lattice": [[-1.9148, 1.9148, 3.9390], [1.9148, -1.9148, 3.9390], [1.9148, 1.9148, -3.9390]], "species": ["Cr", "Ni", "Au", "Au"], "fractional_positions": [[0.0000, 0.0000, 0.0000], [0.7500, 0.2500, 0.5000], [0.2500, 0.7500, 0.5000], [0.5000, 0.5000, 0.0000]], "e_tot_ev_per_atom": -5.928, "crystal_system": "tetragonal", "ef_mev_per_atom": 134, "rho_g_cm3": 14.51, "magnetic_moment_mub_per_fu": 3.38}



Record 24
{"formula": "CrNi2Au", "functional": "GGA-PBEsol", "state": "optimized geometry", "lattice": [[-1.8228, 1.8228, 3.7395], [1.8228, -1.8228, 3.7395], [1.8228, 1.8228, -3.7395]], "species": ["Cr", "Ni", "Ni", "Au"], "fractional_positions": [[0.0000, 0.0000, 0.0000], [0.5000, 0.5000, 0.0000], [0.7500, 0.2500, 0.5000], [0.2500, 0.7500, 0.5000]], "e_tot_ev_per_atom": -6.510, "crystal_system": "tetragonal", "ef_mev_per_atom": 111, "rho_g_cm3": 12.24, "magnetic_moment_mub_per_fu": 2.35}



Record 25
{"formula": "Cr2TcNiAu", "functional": "GGA-PBEsol", "state": "optimized geometry", "lattice": [[4.7624, 0.0000, 0.0000], [0.0000, 4.7624, 0.0000], [0.0000, 0.0000, 4.8830]], "species": ["Cr", "Cr", "Tc", "Ni", "Au"], "fractional_positions": [[0.0000, 0.5000, 0.0000], [0.5000, 0.0000, 0.0000], [0.0000, 0.0000, 0.5000], [0.5000, 0.5000, 0.5000], [0.0000, 0.0000, 0.0000]], "e_tot_ev_per_atom": -6.107, "crystal_system": "tetragonal", "ef_mev_per_atom": 2259, "rho_g_cm3": 6.86, "magnetic_moment_mub_per_fu": 11.30}



Record 26
{"formula": "Cr3AuO8", "functional": "GGA-PBEsol", "state": "optimized geometry", "lattice": [[4.3074, -2.6988, 0.0000], [4.3074, 2.6988, 0.0000], [-1.4384, 0.0000, 7.8550]], "species": ["Cr", "Cr", "Cr", "Au", "O", "O", "O", "O", "O", "O", "O", "O"], "fractional_positions": [[0.0000, 0.0000, 0.0000], [0.3227, 0.3227, 0.8028], [0.6773, 0.6773, 0.1972], [0.0000, 0.0000, 0.5000], [0.1831, 0.6893, 0.8298], [0.2029, 0.2029, 0.9408], [0.2223, 0.2223, 0.6056], [0.3107, 0.8169, 0.1702], [0.6893, 0.1831, 0.8298], [0.7777, 0.7777, 0.3944], [0.7971, 0.7971, 0.0592], [0.8169, 0.3107, 0.1702]], "e_tot_ev_per_atom": -7.885, "crystal_system": "monoclinic", "rho_g_cm3": 4.37, "e_form_raw_ev_per_atom": -1.498, "magnetic_moment_mub_per_fu": 3.00}



Record 27
{"formula": "CrP2AuO", "functional": "GGA-PBEsol", "state": "optimized geometry", "lattice": [[4.5781, 0.0000, 0.0000], [0.0000, 4.5781, 0.0000], [0.0000, 0.0000, 3.4389]], "species": ["Cr", "P", "P", "Au", "O"], "fractional_positions": [[0.0000, 0.0000, 0.0000], [0.0000, 0.5000, 0.0000], [0.5000, 0.0000, 0.0000], [0.5000, 0.5000, 0.5000], [0.0000, 0.0000, 0.5000]], "e_tot_ev_per_atom": -6.384, "crystal_system": "tetragonal", "rho_g_cm3": 7.53, "e_form_raw_ev_per_atom": -0.184, "magnetic_moment_mub_per_fu": 0.09}



Record 28
{"formula": "ScCrAuO2", "functional": "GGA-PBEsol", "state": "optimized geometry", "lattice": [[3.6798, 0.0000, 0.0000], [0.0000, 3.6798, 0.0000], [0.0000, 0.0000, 5.1471]], "species": ["Sc", "Cr", "Au", "O", "O"], "fractional_positions": [[0.0000, 0.0000, 0.0000], [0.5000, 0.5000, 0.5000], [0.5000, 0.5000, 0.0000], [0.0000, 0.5000, 0.5000], [0.5000, 0.0000, 0.5000]], "e_tot_ev_per_atom": -7.277, "crystal_system": "tetragonal", "rho_g_cm3": 7.76, "e_form_raw_ev_per_atom": -1.023, "magnetic_moment_mub_per_fu": 0.00}



Record 29
{"formula": "ZnCrAuO2", "functional": "GGA-PBEsol", "state": "optimized geometry", "lattice": [[3.5516, 0.0000, 0.0000], [0.0000, 3.5516, 0.0000], [0.0000, 0.0000, 5.9981]], "species": ["Zn", "Cr", "Au", "O", "O"], "fractional_positions": [[0.0000, 0.0000, 0.0000], [0.0000, 0.0000, 0.5000], [0.5000, 0.5000, 0.0000], [0.0000, 0.5000, 0.5000], [0.5000, 0.0000, 0.5000]], "e_tot_ev_per_atom": -5.913, "crystal_system": "tetragonal", "rho_g_cm3": 7.60, "e_form_raw_ev_per_atom": -0.664, "magnetic_moment_mub_per_fu": 1.82}